# 1
DFT (PBE-GGA) results for an optimized crystal structure of Os2RuC.

```
data_Os2RuC
_cell_length_a 4.768
_cell_length_b 2.749
_cell_length_c 7.960
_cell_angle_alpha 90.00
_cell_angle_beta 102.04
_cell_angle_gamma 90.00
_space_group_name_H-M_alt 'C 1 m 1'
_space_group_IT_number 8
_space_group_name_Hall 'C -2y'
loop_
_atom_site_label
_atom_site_fract_x
_atom_site_fract_y
_atom_site_fract_z
Os1 0.000 0.000 0.000
Os2 0.030 0.500 0.570
Ru1 0.270 0.500 0.295
C1 0.105 0.500 0.829
```

Output
Crystal system: monoclinic
Energy of formation in eV/atom: 0.52
N(E_F) in states/eV/cell: 8.77

# 2
DFT (PBE-GGA) results for an optimized crystal structure of Os3RuC.

```
data_Os3RuC
_cell_length_a 4.638
_cell_length_b 4.638
_cell_length_c 4.638
_cell_angle_alpha 90.00
_cell_angle_beta 90.00
_cell_angle_gamma 90.00
_space_group_name_H-M_alt 'P m -3 m'
_space_group_IT_number 221
_space_group_name_Hall '-P 4 2 3'
loop_
_atom_site_label
_atom_site_fract_x
_atom_site_fract_y
_atom_site_fract_z
Os1 0.000 0.000 0.500
Ru1 0.000 0.000 0.000
C1 0.500 0.500 0.500
```

Output
Crystal system: cubic
Energy of formation in eV/atom: 3.66
N(E_F) in states/eV/cell: 8.34